No. 1
{
  "formula": "Cu4Os3",
  "functional": "PBE",
  "state": "relaxed",
  "space_group": "P6/mmm",
  "e_form_ev_per_atom": 0.5831,
  "vol_a3_per_atom": 14.49,
  "relative_energy_ev_per_fu": 2.11,
  "lattice": [[2.5188, -4.3626, 0.0000], [2.5188, 4.3626, 0.0000], [0.0000, 0.0000, 4.6167]],
  "species": ["Cu", "Cu", "Cu", "Cu", "Os", "Os", "Os"],
  "fractional_positions": [[0.0000, 0.0000, 0.2470], [0.0000, 0.0000, 0.7530], [0.6667, 0.3333, 0.5000], [0.3333, 0.6667, 0.5000], [0.0000, 0.5000, 0.0000], [0.5000, 0.5000, 0.0000], [0.5000, 0.0000, 0.0000]]
}


No. 2
{
  "formula": "HfGaSN2",
  "functional": "PBE",
  "state": "relaxed",
  "formation_energy_uncorrected_mev_per_atom": 170,
  "space_group": "P4/mmm",
  "vol_a3_per_atom": 17.77,
  "relative_energy_ev_per_fu": 0.00,
  "lattice": [[-3.6287, 1.6959, -0.7726], [-1.2051, -3.4254, -1.8588], [-1.8603, -1.8653, 4.6433]],
  "species": ["S", "Hf", "Ga", "N", "N"],
  "fractional_positions": [[0.0000, 0.0000, 0.5000], [0.0000, 0.0000, 0.0000], [0.5000, 0.5000, 0.5000], [0.0000, 0.5000, 0.0000], [0.5000, 0.0000, 0.0000]]
}


No. 3
{
  "formula": "Cs2TlIn4Pb3",
  "functional": "PBE",
  "state": "relaxed",
  "space_group": "P-4m2",
  "e_form_ev_per_atom": -0.1090,
  "vol_a3_per_atom": 36.47,
  "lattice": [[-3.0261, -4.1538, 1.5969], [3.4022, -0.9146, 4.0681], [-6.7126, 7.7154, 7.3485]],
  "species": ["Cs", "Cs", "Tl", "In", "In", "In", "In", "Pb", "Pb", "Pb"],
  "fractional_positions": [[0.5000, 0.0000, 0.2460], [0.0000, 0.5000, 0.7540], [0.5000, 0.5000, 0.5000], [0.5000, 0.5000, 0.0000], [0.0000, 0.0000, 0.0000], [0.5000, 0.0000, 0.6279], [0.0000, 0.5000, 0.3721], [0.0000, 0.0000, 0.5000], [0.5000, 0.0000, 0.8710], [0.0000, 0.5000, 0.1290]]
}


No. 4
{
  "formula": "Sr2Zn2Pd",
  "functional": "PBE",
  "state": "relaxed",
  "space_group": "I4/mmm",
  "e_form_ev_per_atom": -0.1862,
  "vol_a3_per_atom": 28.01,
  "relative_energy_ev_per_fu": 1.18,
  "lattice": [[6.1030, 0.0000, 0.0000], [0.0000, 6.1030, 0.0000], [3.0515, 3.0515, 3.7606]],
  "species": ["Sr", "Sr", "Zn", "Zn", "Pd"],
  "fractional_positions": [[0.7500, 0.2500, 0.5000], [0.2500, 0.7500, 0.5000], [0.3389, 0.3389, 0.3222], [0.6611, 0.6611, 0.6778], [0.0000, 0.0000, 0.0000]]
}


No. 5
{
  "formula": "BaSnPt2",
  "functional": "PBE",
  "state": "relaxed",
  "space_group": "I-42d",
  "e_form_ev_per_atom": -0.5424,
  "vol_a3_per_atom": 31.41,
  "lattice": [[-0.9523, -4.8892, 1.8667], [4.7391, -0.0007, 2.4159], [-1.8128, 1.0531, 9.4125]],
  "species": ["Ba", "Ba", "Pt", "Pt", "Pt", "Pt", "Sn", "Sn"],
  "fractional_positions": [[0.0000, 0.0000, 0.0000], [0.7500, 0.2500, 0.5000], [0.4021, 0.1250, 0.2500], [0.3479, 0.6250, 0.2500], [0.3750, 0.5979, 0.7500], [0.8750, 0.6521, 0.7500], [0.5000, 0.5000, 0.0000], [0.2500, 0.7500, 0.5000]]
}


No. 6
{
  "formula": "Tb2CeDy6Tm3",
  "functional": "PBE",
  "state": "relaxed",
  "space_group": "C2/m",
  "e_form_ev_per_atom": 0.0383,
  "vol_a3_per_atom": 31.13,
  "lattice": [[-1.5262, -1.6925, 5.6773], [5.8719, -0.0027, -1.7164], [-0.4101, 11.4849, 2.2144]],
  "species": ["Tb", "Tb", "Ce", "Dy", "Dy", "Dy", "Dy", "Dy", "Dy", "Tm", "Tm", "Tm"],
  "fractional_positions": [[0.3335, 0.6665, 0.0000], [0.6665, 0.3335, 0.0000], [0.0000, 0.0000, 0.0000], [0.9159, 0.5847, 0.7484], [0.7527, 0.7527, 0.2519], [0.0841, 0.4153, 0.2516], [0.5847, 0.9159, 0.7484], [0.2473, 0.2473, 0.7481], [0.4153, 0.0841, 0.2516], [0.1672, 0.8328, 0.5000], [0.8328, 0.1672, 0.5000], [0.5000, 0.5000, 0.5000]]
}